Record 1
DFT (GGA-PBE) results for crystalline Zn2AsPt at its relaxed geometry.

For the calculated total energy, the calculation gives -13.855 eV per cell.

```
Zn2AsPt
1.0
2.7959 -3.9102 0.0000
2.7959 3.9102 0.0000
0.0000 0.0000 2.8777
Zn As Pt
2 1 1
Direct
0.0000 0.5000 0.0000
0.5000 0.0000 0.0000
0.0000 0.0000 0.5000
0.5000 0.5000 0.5000
```

***

Record 2
DFT (GGA-PBE) results for crystalline ZnAsPt at its relaxed geometry.

For the calculated total energy, the calculation gives -12.392 eV per cell.

```
ZnAsPt
1.0
3.1691 0.0000 0.0000
-1.5846 2.7446 0.0000
0.0000 0.0000 5.8859
Zn As Pt
1 1 1
Direct
0.0000 0.0000 0.0000
0.3333 0.6667 0.3678
0.6667 0.3333 0.6704
```

***

Record 3
DFT (GGA-PBE) results for crystalline Zn2AsPt at its relaxed geometry.

For the calculated total energy, the calculation gives -26.429 eV per cell.

```
Zn2AsPt
1.0
-3.6010 3.6010 2.6443
3.6010 -3.6010 2.6443
3.6010 3.6010 -2.6443
Zn As Pt
4 2 2
Direct
0.1228 0.6250 0.9978
0.3750 0.3728 0.4978
0.6272 0.1250 0.0022
0.8750 0.8772 0.5022
0.2500 0.7500 0.5000
0.5000 0.5000 0.0000
0.0000 0.0000 0.0000
0.7500 0.2500 0.5000
```

***

Record 4
DFT (GGA-PBE) results for crystalline Zn2AsPt at its relaxed geometry.

For the calculated total energy, the calculation gives -13.574 eV per cell.

```
Zn2AsPt
1.0
1.5028 0.8676 8.3713
-1.5028 0.8676 8.3713
0.0000 -1.7353 8.3713
Zn As Pt
2 1 1
Direct
0.2452 0.2452 0.2452
0.7548 0.7548 0.7548
0.0000 0.0000 0.0000
0.5000 0.5000 0.5000
```

***

Which formula does entry 4 have? Zn2AsPt

***

Look up the calculated total energy of the second one. -12.392 eV per cell

***

calculated total energy of number 2 (ZnAsPt)? -12.392 eV per cell

***

calculated total energy of number 3 (Zn2AsPt)? -26.429 eV per cell